# Li2Mg4Al GGA-PBE relaxed
data_Li2Mg4Al
_space_group_name_H-M_alt 'P b a m'
_space_group_IT_number 55
_cell_length_a 7.230
_cell_length_b 8.974
_cell_length_c 4.560
_cell_angle_alpha 90.00
_cell_angle_beta 90.00
_cell_angle_gamma 90.00
loop_
_space_group_symop_operation_xyz
'x,y,z'
'-x,-y,-z'
'-x,-y,z'
'x,y,-z'
'x+1/2,-y+1/2,-z'
'-x+1/2,y+1/2,z'
'-x+1/2,y+1/2,-z'
'x+1/2,-y+1/2,z'
loop_
_atom_site_label
_atom_site_type_symbol
_atom_site_fract_x
_atom_site_fract_y
_atom_site_fract_z
Li1 Li 0.003 0.203 0.000
Mg1 Mg 0.206 0.496 0.000
Mg2 Mg 0.243 0.745 0.500
Al1 Al 0.000 0.000 0.500
# ΔE to the lowest computed polymorph (eV/f.u.): 0.00
# DOS at the Fermi energy (states/eV/cell): 5.810
# Formation energy from the elements (eV per formula unit): 0.00

---

# Li5Mg4Al2 GGA-PBE relaxed
data_Li5Mg4Al2
_space_group_name_H-M_alt 'P 1 2/m 1'
_space_group_IT_number 10
_cell_length_a 7.439
_cell_length_b 2.975
_cell_length_c 9.837
_cell_angle_alpha 90.00
_cell_angle_beta 93.08
_cell_angle_gamma 90.00
loop_
_space_group_symop_operation_xyz
'x,y,z'
'-x,-y,-z'
'-x,y,-z'
'x,-y,z'
loop_
_atom_site_label
_atom_site_type_symbol
_atom_site_fract_x
_atom_site_fract_y
_atom_site_fract_z
Li1 Li 0.000 0.000 0.000
Li2 Li 0.073 0.000 0.293
Li3 Li 0.294 0.000 0.828
Mg1 Mg 0.216 0.500 0.554
Mg2 Mg 0.343 0.500 0.108
Al1 Al 0.443 0.000 0.365
# ΔE to the lowest computed polymorph (eV/f.u.): 0.35
# DOS at the Fermi energy (states/eV/cell): 3.393
# Formation energy from the elements (eV per formula unit): -0.56

---

# Li3Mg6Al GGA-PBE relaxed
data_Li3Mg6Al
_space_group_name_H-M_alt 'P 1 21/m 1'
_space_group_IT_number 11
_cell_length_a 8.096
_cell_length_b 4.951
_cell_length_c 10.927
_cell_angle_alpha 90.00
_cell_angle_beta 109.29
_cell_angle_gamma 90.00
loop_
_space_group_symop_operation_xyz
'x,y,z'
'-x,-y,-z'
'-x,y+1/2,-z'
'x,-y+1/2,z'
loop_
_atom_site_label
_atom_site_type_symbol
_atom_site_fract_x
_atom_site_fract_y
_atom_site_fract_z
Li1 Li 0.110 0.250 0.234
Li2 Li 0.305 0.250 0.031
Li3 Li 0.314 0.750 0.376
Mg1 Mg 0.081 0.250 0.718
Mg2 Mg 0.096 0.750 0.075
Mg3 Mg 0.282 0.750 0.864
Mg4 Mg 0.288 0.250 0.523
Mg5 Mg 0.496 0.750 0.668
Mg6 Mg 0.497 0.750 0.166
Al1 Al 0.098 0.750 0.567
# ΔE to the lowest computed polymorph (eV/f.u.): 0.00
# DOS at the Fermi energy (states/eV/cell): 7.333
# Formation energy from the elements (eV per formula unit): -0.39

---

# Li2MgAl GGA-PBE relaxed
data_Li2MgAl
_space_group_name_H-M_alt 'R -3 m'
_space_group_IT_number 166
_space_group_name_Hall '-R 3 2"'
_cell_length_a 3.0196
_cell_length_b 3.0196
_cell_length_c 28.6885
_cell_angle_alpha 90.00
_cell_angle_beta 90.00
_cell_angle_gamma 120.00
loop_
_atom_site_label
_atom_site_type_symbol
_atom_site_fract_x
_atom_site_fract_y
_atom_site_fract_z
Li1 Li 0.0000 0.0000 0.2442
Mg1 Mg 0.0000 0.0000 0.0000
Al1 Al 0.0000 0.0000 0.5000
# DOS at the Fermi energy (states/eV/cell): 4.051
# Formation energy from the elements (eV per formula unit): -0.14

---

# Li3Mg2Al2 GGA-PBE relaxed
data_Li3Mg2Al2
_space_group_name_H-M_alt 'C 1 2/m 1'
_space_group_IT_number 12
_cell_length_a 9.854
_cell_length_b 4.500
_cell_length_c 6.700
_cell_angle_alpha 90.00
_cell_angle_beta 109.56
_cell_angle_gamma 90.00
loop_
_space_group_symop_operation_xyz
'x,y,z'
'-x,-y,-z'
'-x,y,-z'
'x,-y,z'
'x+1/2,y+1/2,z'
'-x+1/2,-y+1/2,-z'
'-x+1/2,y+1/2,-z'
'x+1/2,-y+1/2,z'
loop_
_atom_site_label
_atom_site_type_symbol
_atom_site_fract_x
_atom_site_fract_y
_atom_site_fract_z
Li1 Li 0.000 0.000 0.000
Li2 Li 0.176 0.500 0.930
Mg1 Mg 0.119 0.500 0.393
Al1 Al 0.106 0.000 0.679
# DOS at the Fermi energy (states/eV/cell): 3.564
# Formation energy from the elements (eV per formula unit): -0.23

---

# LiMgAl2 GGA-PBE relaxed
data_LiMgAl2
_space_group_name_H-M_alt 'C 1 m 1'
_space_group_IT_number 8
_cell_length_a 9.716
_cell_length_b 2.891
_cell_length_c 5.196
_cell_angle_alpha 90.00
_cell_angle_beta 98.23
_cell_angle_gamma 90.00
loop_
_space_group_symop_operation_xyz
'x,y,z'
'x,-y,z'
'x+1/2,y+1/2,z'
'x+1/2,-y+1/2,z'
loop_
_atom_site_label
_atom_site_type_symbol
_atom_site_fract_x
_atom_site_fract_y
_atom_site_fract_z
Li1 Li 0.000 0.000 0.000
Mg1 Mg 0.258 0.500 0.249
Al1 Al 0.011 0.500 0.516
Al2 Al 0.251 0.000 0.750
# DOS at the Fermi energy (states/eV/cell): 2.599
# Formation energy from the elements (eV per formula unit): -0.17

---

# LiMg8Al2 GGA-PBE relaxed
data_LiMg8Al2
_space_group_name_H-M_alt 'C 1 2/m 1'
_space_group_IT_number 12
_cell_length_a 7.829
_cell_length_b 13.335
_cell_length_c 5.101
_cell_angle_alpha 90.00
_cell_angle_beta 111.97
_cell_angle_gamma 90.00
loop_
_space_group_symop_operation_xyz
'x,y,z'
'-x,-y,-z'
'-x,y,-z'
'x,-y,z'
'x+1/2,y+1/2,z'
'-x+1/2,-y+1/2,-z'
'-x+1/2,y+1/2,-z'
'x+1/2,-y+1/2,z'
loop_
_atom_site_label
_atom_site_type_symbol
_atom_site_fract_x
_atom_site_fract_y
_atom_site_fract_z
Li1 Li 0.000 0.000 0.000
Mg1 Mg 0.000 0.216 0.000
Mg2 Mg 0.111 0.500 0.804
Mg3 Mg 0.207 0.114 0.628
Al1 Al 0.000 0.306 0.500
# DOS at the Fermi energy (states/eV/cell): 7.803
# Formation energy from the elements (eV per formula unit): 0.81

---

# Li7Mg3Al2 GGA-PBE relaxed
data_Li7Mg3Al2
_space_group_name_H-M_alt 'C m m m'
_space_group_IT_number 65
_space_group_name_Hall '-C 2 2'
_cell_length_a 4.299
_cell_length_b 26.109
_cell_length_c 4.289
_cell_angle_alpha 90.00
_cell_angle_beta 90.00
_cell_angle_gamma 90.00
loop_
_atom_site_label
_atom_site_type_symbol
_atom_site_fract_x
_atom_site_fract_y
_atom_site_fract_z
Li1 Li 0.000 0.000 0.000
Li2 Li 0.000 0.080 0.500
Li3 Li 0.000 0.272 0.000
Li4 Li 0.000 0.416 0.000
Mg1 Mg 0.000 0.342 0.500
Mg2 Mg 0.000 0.500 0.500
Al1 Al 0.000 0.157 0.000
# ΔE to the lowest computed polymorph (eV/f.u.): 0.75
# DOS at the Fermi energy (states/eV/cell): 10.321
# Formation energy from the elements (eV per formula unit): 0.49

---

# Li7Mg3Al GGA-PBE relaxed
data_Li7Mg3Al
_space_group_name_H-M_alt 'C m c m'
_space_group_IT_number 63
_space_group_name_Hall '-C 2c 2'
_cell_length_a 2.942
_cell_length_b 20.390
_cell_length_c 14.497
_cell_angle_alpha 90.00
_cell_angle_beta 90.00
_cell_angle_gamma 90.00
loop_
_atom_site_label
_atom_site_type_symbol
_atom_site_fract_x
_atom_site_fract_y
_atom_site_fract_z
Li1 Li 0.000 0.005 0.091
Li2 Li 0.000 0.096 0.750
Li3 Li 0.000 0.129 0.155
Li4 Li 0.000 0.243 0.077
Mg1 Mg 0.000 0.242 0.750
Mg2 Mg 0.000 0.379 0.041
Al1 Al 0.000 0.474 0.750
# ΔE to the lowest computed polymorph (eV/f.u.): 0.00
# DOS at the Fermi energy (states/eV/cell): 18.898
# Formation energy from the elements (eV per formula unit): 0.10